The following is a DFT calculation (GGA-PBE) of a relaxed structure of CrMoP.

POSCAR file:
```
CrMoP
1.0
-0.600 -5.373 0.058
5.067 -0.510 5.167
-2.573 3.877 2.906
P Mo Cr
4 4 4
direct
0.104 0.835 0.532 P
0.104 0.335 0.032 P
0.604 0.165 0.032 P
0.604 0.665 0.532 P
0.189 0.152 0.457 Mo
0.689 0.348 0.457 Mo
0.689 0.848 0.957 Mo
0.189 0.652 0.957 Mo
0.678 0.965 0.468 Cr
0.178 0.535 0.468 Cr
0.678 0.465 0.968 Cr
0.178 0.035 0.968 Cr
```

## Properties
DOS(E_F)	0.82	states/eV per atom
theoretical density	7.224	g/cm³
V	164.5	Å³ per cell
DFT formation energy	-206	meV/atom
spin magnetization	0.0	μB per cell

The following is a DFT calculation (GGA-PBE) of a relaxed structure of CrMo2P.

POSCAR file:
```
CrMo2P
1.0
4.147 0.000 0.000
0.000 2.950 0.000
0.000 1.386 4.555
Mo Cr P
2 1 1
direct
0.500 0.217 0.276 Mo
0.000 0.982 0.960 Mo
0.500 0.629 0.763 Cr
0.000 0.673 0.501 P
```

## Properties
DOS(E_F)	0.67	states/eV per atom
theoretical density	8.192	g/cm³
V	55.7	Å³ per cell
DFT formation energy	-80	meV/atom
spin magnetization	0.0	μB per cell

The following is a DFT calculation (GGA-PBE) of a relaxed structure of CrMo2P.

POSCAR file:
```
CrMo2P
1.0
7.917 0.007 0.004
7.373 2.884 0.004
7.373 1.394 2.524
P Mo Cr
1 2 1
direct
0.250 0.250 0.250 P
0.503 0.503 0.503 Mo
0.997 0.997 0.997 Mo
0.750 0.750 0.750 Cr
```

## Properties
DOS(E_F)	1.03	states/eV per atom
theoretical density	7.953	g/cm³
V	57.4	Å³ per cell
DFT formation energy	187	meV/atom
spin magnetization	0.0	μB per cell

The following is a DFT calculation (GGA-PBE) of a relaxed structure of CrMo3P.

POSCAR file:
```
CrMo3P
1.0
4.466 0.000 0.000
0.000 4.466 0.000
0.000 0.000 4.466
Cr P Mo
1 1 3
direct
0.000 0.000 0.000 Cr
0.500 0.500 0.500 P
0.500 0.000 0.000 Mo
0.000 0.500 0.000 Mo
0.000 0.000 0.500 Mo
```

## Properties
DOS(E_F)	1.63	states/eV per atom
theoretical density	6.910	g/cm³
V	89.1	Å³ per cell
polymorph energy (0 for the lowest one)	0.512	eV per atom
DFT formation energy	1396	meV/atom
spin magnetization	0.0	μB per cell

The following is a DFT calculation (GGA-PBE) of a relaxed structure of CrMo2P.

POSCAR file:
```
CrMo2P
1.0
-3.597 0.881 2.084
-2.539 -3.156 1.283
-0.335 -0.909 4.137
Mo P Cr
2 1 1
direct
0.000 0.000 0.000 Mo
0.250 0.250 0.250 Mo
0.750 0.750 0.750 P
0.500 0.500 0.500 Cr
```

## Properties
DOS(E_F)	0.83	states/eV per atom
theoretical density	8.414	g/cm³
V	54.2	Å³ per cell
DFT formation energy	101	meV/atom
spin magnetization	0.0	μB per cell

The following is a DFT calculation (GGA-PBE) of a relaxed structure of CrMoP.

POSCAR file:
```
CrMoP
1.0
-2.371 -2.784 3.402
1.085 -4.473 1.940
1.721 4.539 -1.174
Mo P Cr
1 1 1
direct
0.330 0.330 0.000 Mo
0.648 0.648 0.000 P
0.023 0.023 0.000 Cr
```

## Properties
DOS(E_F)	1.34	states/eV per atom
theoretical density	7.712	g/cm³
V	38.5	Å³ per cell
DFT formation energy	-155	meV/atom
spin magnetization	0.0	μB per cell

The following is a DFT calculation (GGA-PBE) of a relaxed structure of CrMo2P.

POSCAR file:
```
CrMo2P
1.0
2.795 0.081 0.000
-0.849 2.664 0.000
0.000 0.000 7.494
Mo P Cr
2 1 1
direct
0.500 0.500 0.277 Mo
0.000 0.000 0.986 Mo
0.000 0.000 0.520 P
0.500 0.500 0.717 Cr
```

## Properties
DOS(E_F)	0.59	states/eV per atom
theoretical density	8.103	g/cm³
V	56.3	Å³ per cell
DFT formation energy	45	meV/atom
spin magnetization	1.1	μB per cell

The following is a DFT calculation (GGA-PBE) of a relaxed structure of CrMo2P.

POSCAR file:
```
CrMo2P
1.0
-2.453 -1.069 1.616
-0.116 -2.521 -1.843
3.517 -2.740 3.527
P Mo Cr
1 2 1
direct
0.000 0.000 0.501 P
0.000 0.000 0.963 Mo
0.500 0.500 0.288 Mo
0.500 0.500 0.748 Cr
```

## Properties
DOS(E_F)	0.83	states/eV per atom
theoretical density	8.218	g/cm³
V	55.5	Å³ per cell
DFT formation energy	-101	meV/atom
spin magnetization	0.7	μB per cell

The following is a DFT calculation (GGA-PBE) of a relaxed structure of CrMoP.

POSCAR file:
```
CrMoP
1.0
-3.884 0.969 0.113
-2.376 -1.575 2.813
-1.403 2.307 2.958
P Cr Mo
1 1 1
direct
0.750 0.750 0.750 P
0.000 0.000 0.000 Cr
0.500 0.500 0.500 Mo
```

## Properties
DOS(E_F)	0.80	states/eV per atom
theoretical density	6.541	g/cm³
V	45.4	Å³ per cell
DFT formation energy	-79	meV/atom
spin magnetization	3.2	μB per cell

The following is a DFT calculation (GGA-PBE) of a relaxed structure of CrMoP.

POSCAR file:
```
CrMoP
1.0
-0.234 -1.151 -4.390
2.119 -2.018 0.416
-4.235 -4.031 2.024
Cr P Mo
2 2 2
direct
0.255 0.000 0.235 Cr
0.437 0.500 0.931 Cr
0.382 0.000 0.609 P
0.762 0.000 0.123 P
0.940 0.000 0.789 Mo
0.717 0.500 0.422 Mo
```

## Properties
DOS(E_F)	0.55	states/eV per atom
theoretical density	7.198	g/cm³
V	82.5	Å³ per cell
DFT formation energy	-192	meV/atom
spin magnetization	0.0	μB per cell

The following is a DFT calculation (GGA-PBE) of a relaxed structure of CrMo2P.

POSCAR file:
```
CrMo2P
1.0
-0.920 2.868 0.138
-1.671 -0.652 2.423
4.694 1.333 3.595
Mo Cr P
2 1 1
direct
0.000 0.000 0.492 Mo
0.000 0.000 0.008 Mo
0.500 0.500 0.750 Cr
0.500 0.500 0.250 P
```

## Properties
DOS(E_F)	0.83	states/eV per atom
theoretical density	8.285	g/cm³
V	55.1	Å³ per cell
DFT formation energy	-27	meV/atom
spin magnetization	0.7	μB per cell

The following is a DFT calculation (GGA-PBE) of a relaxed structure of CrMo2P.

POSCAR file:
```
CrMo2P
1.0
-1.742 2.065 0.692
-1.150 -1.560 -2.006
-3.221 -4.511 5.355
Mo Cr P
2 1 1
direct
0.000 0.000 0.008 Mo
0.000 0.000 0.492 Mo
0.500 0.500 0.750 Cr
0.500 0.500 0.250 P
```

## Properties
DOS(E_F)	0.75	states/eV per atom
theoretical density	8.080	g/cm³
V	56.5	Å³ per cell
DFT formation energy	134	meV/atom
spin magnetization	0.0	μB per cell